Compound: PuHgWO6
Source: Alexandria
Functional: PBE with a Hubbard U
Structure: relaxed

Properties
total energy = -7.61 eV/atom
spin magnetization = 0.445 μB/atom
mass density = 9114 kg/m3

a b c (Å): 5.6215 5.6215 9.6456
angles (deg): 90.00 90.00 120.00
Space group P-31c (No. 163)
Symmetry-distinct sites (fractional):
Pu 0.3333 0.6667 0.2500 (multiplicity 2)
Hg 0.0000 0.0000 0.0000 (multiplicity 2)
W 0.3333 0.6667 0.7500 (multiplicity 2)
O 0.0331 0.3829 0.6389 (multiplicity 12)